# 1
# ScTe2Ru

ScTe2Ru after structural relaxation (PBE, Alexandria).

## Properties
Space group: Fm-3m

a b c (Å): 4.888 4.888 4.888
angles (deg): 60.00 60.00 60.00
Sites, in units of the cell vectors:
Te 0.250 0.250 0.250
Te 0.750 0.750 0.750
Ru 0.500 0.500 0.500
Sc 0.000 0.000 0.000

=====

# 2
# ScTe2Ru

ScTe2Ru after structural relaxation (PBE, Alexandria).

## Properties
Space group: I-4m2

a b c (Å): 5.897 5.897 5.897
angles (deg): 139.96 139.96 57.91
Sites, in units of the cell vectors:
Te 0.250 0.750 0.500
Te 0.000 0.000 0.000
Sc 0.750 0.250 0.500
Ru 0.500 0.500 0.000

=====

no.,magnetic moment (μB/cell),uncorrected formation energy (eV/atom)
1,0.0,-0.239
2,0.0,-0.132